Pm8SiIr3I4 | Alexandria | GGA-PBE | optimized geometry; uncorrected formation energy = -0.923 eV/atom; total DFT energy (no corrections) = -5.686 eV/atom; SG = R-3m, No. 166
1.0
8.489 0.000 0.000
0.000 9.338 0.603
-4.245 -4.245 6.002
Pm Si Ir I
8 1 3 4
Cartesian
-2.047 2.361 6.119
0.000 4.409 3.226
0.000 0.622 3.442
2.047 2.361 6.119
2.198 2.732 0.486
4.245 4.471 3.163
4.245 0.684 3.380
6.291 2.732 0.486
0.000 4.669 0.302
4.245 4.669 0.302
2.122 2.546 3.303
-2.122 2.546 3.303
4.245 0.000 0.000
2.122 -2.122 3.001
0.000 0.000 0.000
-2.122 -2.122 3.001